! MgWF4 | the Alexandria database | PBE+U | relaxed; values from VASP
&SYSTEM
  ibrav = 0, nat = 12, ntyp = 3
/
ATOMIC_SPECIES
Mg 24.30 Mg.upf
W 183.84 W.upf
F 19.00 F.upf
CELL_PARAMETERS angstrom
6.499 -2.062 -0.584
1.497 -4.075 5.289
-4.668 0.165 -5.001
ATOMIC_POSITIONS crystal
Mg 0.750 0.250 0.500
Mg 0.250 0.750 0.500
W 0.500 0.500 0.000
W 0.000 0.000 0.000
F 0.230 0.607 0.118
F 0.511 0.888 0.118
F 0.770 0.393 0.882
F 0.270 0.388 0.377
F 0.489 0.112 0.882
F 0.989 0.107 0.377
F 0.730 0.612 0.623
F 0.011 0.893 0.623
! Uncorrected energy, eV for the cell shown: -63.33
! Space-group type: Ibam (72)